# 1
BaTcMo2: optimized geometry, PBE.

Structure (CIF):
```
data_BaTcMo2
_chemical_formula_sum 'Ba1 Tc1 Mo2'
_cell_length_a 4.8240
_cell_length_b 4.8240
_cell_length_c 3.2298
_cell_angle_alpha 90.00
_cell_angle_beta 90.00
_cell_angle_gamma 90.00
_symmetry_space_group_name_H-M 'P 4/m m m'
_symmetry_Int_Tables_number 123
_symmetry_space_group_name_Hall '-P 4 2'
loop_
_atom_site_label
_atom_site_type_symbol
_atom_site_fract_x
_atom_site_fract_y
_atom_site_fract_z
Ba1 Ba 0.0000 0.0000 0.0000
Tc1 Tc 0.5000 0.5000 0.0000
Mo1 Mo 0.0000 0.5000 0.5000
```

Calculated values
- Magnetic moment: 0.00 Bohr magnetons per cell
- Energy of formation: 1.374 eV/atom
- VASP energy: -7.114 eV per atom



# 2
PuZn11Au: optimized geometry, PBE.

Structure (CIF):
```
data_PuZn11Au
_chemical_formula_sum 'Pu2 Zn22 Au2'
_cell_length_a 5.2544
_cell_length_b 12.7410
_cell_length_c 6.8669
_cell_angle_alpha 90.00
_cell_angle_beta 112.10
_cell_angle_gamma 90.00
_symmetry_space_group_name_H-M 'C 1 2/m 1'
_symmetry_Int_Tables_number 12
loop_
_symmetry_equiv_pos_as_xyz
'x,y,z'
'-x,-y,-z'
'-x,y,-z'
'x,-y,z'
'x+1/2,y+1/2,z'
'-x+1/2,-y+1/2,-z'
'-x+1/2,y+1/2,-z'
'x+1/2,-y+1/2,z'
loop_
_atom_site_label
_atom_site_type_symbol
_atom_site_fract_x
_atom_site_fract_y
_atom_site_fract_z
Pu1 Pu 0.0000 0.0000 0.0000
Zn1 Zn 0.0000 0.5000 0.5000
Zn2 Zn 0.0997 0.3906 0.2130
Zn3 Zn 0.1801 0.1787 0.3524
Zn4 Zn 0.2500 0.2500 0.0000
Au1 Au 0.0000 0.0000 0.5000
```

Calculated values
- Magnetic moment: 11.29 Bohr magnetons per cell
- Energy of formation: -0.129 eV/atom
- VASP energy: -2.561 eV per atom



# 3
ReTe2NF: optimized geometry, PBE.

Structure (CIF):
```
data_ReTe2NF
_chemical_formula_sum 'Re1 Te2 N1 F1'
_cell_length_a 5.3324
_cell_length_b 5.3324
_cell_length_c 3.7095
_cell_angle_alpha 90.00
_cell_angle_beta 90.00
_cell_angle_gamma 90.00
_symmetry_space_group_name_H-M 'P 4/m m m'
_symmetry_Int_Tables_number 123
_symmetry_space_group_name_Hall '-P 4 2'
loop_
_atom_site_label
_atom_site_type_symbol
_atom_site_fract_x
_atom_site_fract_y
_atom_site_fract_z
Re1 Re 0.0000 0.0000 0.0000
Te1 Te 0.0000 0.5000 0.0000
N1 N 0.0000 0.0000 0.5000
F1 F 0.5000 0.5000 0.5000
```

Calculated values
- Magnetic moment: 0.00 Bohr magnetons per cell
- Raw formation energy: 123.7 meV per atom
- VASP energy: -5.662 eV per atom



# 4
ZrNbTl3: optimized geometry, PBE.

Structure (CIF):
```
data_ZrNbTl3
_chemical_formula_sum 'Zr1 Nb1 Tl3'
_cell_length_a 5.3706
_cell_length_b 5.3706
_cell_length_c 5.3706
_cell_angle_alpha 90.00
_cell_angle_beta 90.00
_cell_angle_gamma 90.00
_symmetry_space_group_name_H-M 'P m -3 m'
_symmetry_Int_Tables_number 221
_symmetry_space_group_name_Hall '-P 4 2 3'
loop_
_atom_site_label
_atom_site_type_symbol
_atom_site_fract_x
_atom_site_fract_y
_atom_site_fract_z
Zr1 Zr 0.0000 0.0000 0.0000
Nb1 Nb 0.5000 0.5000 0.5000
Tl1 Tl 0.0000 0.5000 0.5000
```

Calculated values
- Magnetic moment: 1.64 Bohr magnetons per cell
- Energy of formation: 1.008 eV/atom
- VASP energy: -4.135 eV per atom



# 5
UNF: optimized geometry, PBE.

Structure (CIF):
```
data_UNF
_chemical_formula_sum 'U2 N2 F2'
_cell_length_a 3.2371
_cell_length_b 3.2371
_cell_length_c 9.3810
_cell_angle_alpha 90.00
_cell_angle_beta 90.00
_cell_angle_gamma 90.00
_symmetry_space_group_name_H-M 'I 4 m m'
_symmetry_Int_Tables_number 107
_symmetry_space_group_name_Hall 'I 4 -2'
loop_
_atom_site_label
_atom_site_type_symbol
_atom_site_fract_x
_atom_site_fract_y
_atom_site_fract_z
U1 U 0.0000 0.0000 0.0000
N1 N 0.0000 0.0000 0.5185
F1 F 0.0000 0.0000 0.2294
```

Calculated values
- Magnetic moment: 3.47 Bohr magnetons per cell
- Raw formation energy: -1863.7 meV per atom
- VASP energy: -9.025 eV per atom



# 6
Tb2P3Ir4Rh: optimized geometry, PBE.

Structure (CIF):
```
data_Tb2P3Ir4Rh
_chemical_formula_sum 'Tb2 P3 Ir4 Rh1'
_cell_length_a 4.0763
_cell_length_b 4.0763
_cell_length_c 10.0842
_cell_angle_alpha 90.00
_cell_angle_beta 90.00
_cell_angle_gamma 90.00
_symmetry_space_group_name_H-M 'P -4 m 2'
_symmetry_Int_Tables_number 115
loop_
_symmetry_equiv_pos_as_xyz
'x,y,z'
'y,-x,-z'
'-x,-y,z'
'-y,x,-z'
'-x,y,z'
'-y,-x,-z'
'x,-y,z'
'y,x,-z'
loop_
_atom_site_label
_atom_site_type_symbol
_atom_site_fract_x
_atom_site_fract_y
_atom_site_fract_z
Tb1 Tb 0.0000 0.5000 0.2482
P1 P 0.0000 0.5000 0.8649
P2 P 0.5000 0.5000 0.5000
Ir1 Ir 0.0000 0.0000 0.0000
Ir2 Ir 0.0000 0.5000 0.6414
Ir3 Ir 0.5000 0.5000 0.0000
Rh1 Rh 0.0000 0.0000 0.5000
```

Calculated values
- Magnetic moment: 0.00 Bohr magnetons per cell
- Energy of formation: -0.828 eV/atom
- VASP energy: -7.656 eV per atom



# 7
Ce3NdZn4: optimized geometry, PBE.

Structure (CIF):
```
data_Ce3NdZn4
_chemical_formula_sum 'Ce6 Nd2 Zn8'
_cell_length_a 10.2824
_cell_length_b 7.2900
_cell_length_c 5.1444
_cell_angle_alpha 90.00
_cell_angle_beta 90.00
_cell_angle_gamma 90.00
_symmetry_space_group_name_H-M 'P m m a'
_symmetry_Int_Tables_number 51
loop_
_symmetry_equiv_pos_as_xyz
'x,y,z'
'-x,-y,-z'
'-x+1/2,-y,z'
'x+1/2,y,-z'
'x+1/2,-y,-z'
'-x+1/2,y,z'
'-x,y,-z'
'x,-y,z'
loop_
_atom_site_label
_atom_site_type_symbol
_atom_site_fract_x
_atom_site_fract_y
_atom_site_fract_z
Ce1 Ce 0.0000 0.0000 0.0000
Ce2 Ce 0.2500 0.0000 0.4976
Ce3 Ce 0.2500 0.5000 0.4981
Nd1 Nd 0.0000 0.5000 0.0000
Zn1 Zn 0.0000 0.2486 0.5000
Zn2 Zn 0.2500 0.2486 0.9975
```

Calculated values
- Magnetic moment: 4.85 Bohr magnetons per cell
- Energy of formation: -0.200 eV/atom
- VASP energy: -3.658 eV per atom



# 8
LiThMgAl: optimized geometry, PBE.

Structure (CIF):
```
data_LiThMgAl
_chemical_formula_sum 'Li4 Th4 Mg4 Al4'
_cell_length_a 7.0890
_cell_length_b 7.0890
_cell_length_c 7.0890
_cell_angle_alpha 90.00
_cell_angle_beta 90.00
_cell_angle_gamma 90.00
_symmetry_space_group_name_H-M 'F -4 3 m'
_symmetry_Int_Tables_number 216
_symmetry_space_group_name_Hall 'F -4 2 3'
loop_
_atom_site_label
_atom_site_type_symbol
_atom_site_fract_x
_atom_site_fract_y
_atom_site_fract_z
Li1 Li 0.0000 0.0000 0.0000
Th1 Th 0.2500 0.2500 0.2500
Mg1 Mg 0.2500 0.2500 0.7500
Al1 Al 0.0000 0.0000 0.5000
```

Calculated values
- Magnetic moment: 0.00 Bohr magnetons per cell
- Energy of formation: -0.070 eV/atom
- VASP energy: -3.738 eV per atom



# 9
FeRu2Pt: optimized geometry, PBE.

Structure (CIF):
```
data_FeRu2Pt
_chemical_formula_sum 'Fe2 Ru4 Pt2'
_cell_length_a 3.8077
_cell_length_b 3.8077
_cell_length_c 7.6661
_cell_angle_alpha 90.00
_cell_angle_beta 90.00
_cell_angle_gamma 90.00
_symmetry_space_group_name_H-M 'I -4 m 2'
_symmetry_Int_Tables_number 119
_symmetry_space_group_name_Hall 'I -4 -2'
loop_
_atom_site_label
_atom_site_type_symbol
_atom_site_fract_x
_atom_site_fract_y
_atom_site_fract_z
Fe1 Fe 0.0000 0.0000 0.0000
Ru1 Ru 0.0000 0.0000 0.5000
Ru2 Ru 0.0000 0.5000 0.7500
Pt1 Pt 0.0000 0.5000 0.2500
```

Calculated values
- Magnetic moment: 5.41 Bohr magnetons per cell
- Energy of formation: 0.007 eV/atom
- VASP energy: -8.256 eV per atom



# 10
Hg2PdCl: optimized geometry, PBE.

Structure (CIF):
```
data_Hg2PdCl
_chemical_formula_sum 'Hg8 Pd4 Cl4'
_cell_length_a 9.4261
_cell_length_b 9.4261
_cell_length_c 4.8263
_cell_angle_alpha 90.00
_cell_angle_beta 90.00
_cell_angle_gamma 90.00
_symmetry_space_group_name_H-M 'I -4 2 d'
_symmetry_Int_Tables_number 122
_symmetry_space_group_name_Hall 'I -4 2bw'
loop_
_atom_site_label
_atom_site_type_symbol
_atom_site_fract_x
_atom_site_fract_y
_atom_site_fract_z
Hg1 Hg 0.1505 0.2500 0.1250
Pd1 Pd 0.0000 0.0000 0.0000
Cl1 Cl 0.0000 0.0000 0.5000
```

Calculated values
- Magnetic moment: 0.00 Bohr magnetons per cell
- Raw formation energy: -113.7 meV per atom
- VASP energy: -2.024 eV per atom



# 11
Zr2AlBi2: optimized geometry, PBE.

Structure (CIF):
```
data_Zr2AlBi2
_chemical_formula_sum 'Zr4 Al2 Bi4'
_cell_length_a 4.2774
_cell_length_b 4.2774
_cell_length_c 14.7822
_cell_angle_alpha 90.00
_cell_angle_beta 90.00
_cell_angle_gamma 90.00
_symmetry_space_group_name_H-M 'I 4/m m m'
_symmetry_Int_Tables_number 139
_symmetry_space_group_name_Hall '-I 4 2'
loop_
_atom_site_label
_atom_site_type_symbol
_atom_site_fract_x
_atom_site_fract_y
_atom_site_fract_z
Zr1 Zr 0.0000 0.0000 0.0950
Al1 Al 0.0000 0.0000 0.5000
Bi1 Bi 0.0000 0.5000 0.2500
```

Calculated values
- Magnetic moment: 1.14 Bohr magnetons per cell
- Energy of formation: 0.253 eV/atom
- VASP energy: -5.468 eV per atom



# 12
Ho4NiRh: optimized geometry, PBE.

Structure (CIF):
```
data_Ho4NiRh
_chemical_formula_sum 'Ho16 Ni4 Rh4'
_cell_length_a 8.7913
_cell_length_b 13.1454
_cell_length_c 6.2405
_cell_angle_alpha 90.00
_cell_angle_beta 125.49
_cell_angle_gamma 90.00
_symmetry_space_group_name_H-M 'C 1 2/c 1'
_symmetry_Int_Tables_number 15
loop_
_symmetry_equiv_pos_as_xyz
'x,y,z'
'-x,-y,-z'
'-x,y,-z+1/2'
'x,-y,z+1/2'
'x+1/2,y+1/2,z'
'-x+1/2,-y+1/2,-z'
'-x+1/2,y+1/2,-z+1/2'
'x+1/2,-y+1/2,z+1/2'
loop_
_atom_site_label
_atom_site_type_symbol
_atom_site_fract_x
_atom_site_fract_y
_atom_site_fract_z
Ho1 Ho 0.1350 0.1812 0.1082
Ho2 Ho 0.2032 0.4391 0.2683
Ni1 Ni 0.0000 0.0037 0.7500
Rh1 Rh 0.0000 0.3618 0.7500
```

Calculated values
- Magnetic moment: 0.00 Bohr magnetons per cell
- Energy of formation: -0.460 eV/atom
- VASP energy: -5.701 eV per atom



Copy entry 5 word for word.
UNF: optimized geometry, PBE.

Structure (CIF):
```
data_UNF
_chemical_formula_sum 'U2 N2 F2'
_cell_length_a 3.2371
_cell_length_b 3.2371
_cell_length_c 9.3810
_cell_angle_alpha 90.00
_cell_angle_beta 90.00
_cell_angle_gamma 90.00
_symmetry_space_group_name_H-M 'I 4 m m'
_symmetry_Int_Tables_number 107
_symmetry_space_group_name_Hall 'I 4 -2'
loop_
_atom_site_label
_atom_site_type_symbol
_atom_site_fract_x
_atom_site_fract_y
_atom_site_fract_z
U1 U 0.0000 0.0000 0.0000
N1 N 0.0000 0.0000 0.5185
F1 F 0.0000 0.0000 0.2294
```

Calculated values
- Magnetic moment: 3.47 Bohr magnetons per cell
- Raw formation energy: -1863.7 meV per atom
- VASP energy: -9.025 eV per atom